{
  "formula": "Pu8MgIr6",
  "functional": "GGA-PBE",
  "state": "optimized geometry",
  "formation_enthalpy_0k_ev_per_atom": -0.023,
  "m_tot_mub_per_cell": 0.253,
  "dos_at_fermi_per_ev_fu": 23.6,
  "crystal_system": "trigonal",
  "cell": [[6.900, 0.000, 0.000], [3.450, 5.975, 0.000], [3.450, 1.992, 6.325]],
  "species": ["Pu", "Ir", "Pu", "Ir", "Pu", "Pu", "Ir", "Pu", "Ir", "Pu", "Pu", "Pu", "Ir", "Ir", "Mg"],
  "frac_coords": [[0.755, 0.755, 0.735], [0.336, 0.152, 0.893], [0.245, 0.245, 0.265], [0.664, 0.848, 0.107], [0.463, 0.823, 0.597], [0.537, 0.177, 0.403], [0.619, 0.336, 0.893], [0.823, 0.117, 0.597], [0.848, 0.381, 0.107], [0.177, 0.883, 0.403], [0.117, 0.463, 0.597], [0.883, 0.537, 0.403], [0.152, 0.619, 0.893], [0.381, 0.664, 0.107], [0.000, 0.000, 0.000]]
}